Compound: Ba3Hg4
Source: Alexandria via LeMat-Bulk
Functional: PBE
Structure: relaxed

Results
energy relative to the lowest polymorph listed for this composition = 0.0 meV/atom
formation enthalpy at 0 K = -0.43 eV/atom

Unit cell a=4.382 b=4.382 c=27.690 alpha=90.00 beta=90.00 gamma=90.00
Space group I4/mmm (No. 139)
Unique sites:
1 Ba 0.000 0.000 0.000 (multiplicity 2)
2 Ba 0.000 0.000 0.315 (multiplicity 4)
3 Hg 0.000 0.000 0.128 (multiplicity 4)
4 Hg 0.000 0.000 0.436 (multiplicity 4)